The following is a DFT calculation (PBE) of a geometry-optimized YCI2N structure.

Cell and atoms, written as POSCAR:
```
YCI2N
1.0
6.1010 0.0000 0.0000
0.0000 6.1010 0.0000
0.0000 0.0000 4.1266
Y C I N
1 1 2 1
direct
0.0000 0.0000 0.0000
0.5000 0.5000 0.5000
0.0000 0.5000 0.0000
0.5000 0.0000 0.0000
0.0000 0.0000 0.5000
```

Results
**SG**: P4/mmm
**E_form (uncorrected)**: 7.1 eV/f.u.
**Size of the total moment**: 0.00 μB per cell
**Energy above the most stable polymorph in this dataset**: 190.8 kJ/mol of formula units
**Crystal system**: tetragonal

=====

The following is a DFT calculation (PBE) of a geometry-optimized ZnCIN2 structure.

Cell and atoms, written as POSCAR:
```
ZnCIN2
1.0
3.5230 0.0000 0.0000
0.0000 3.5230 0.0000
0.0000 0.0000 6.6950
Zn C I N
1 1 1 2
direct
0.0000 0.0000 0.0000
0.5000 0.5000 0.5000
0.5000 0.5000 0.0000
0.0000 0.5000 0.5000
0.5000 0.0000 0.5000
```

Results
**SG**: P4/mmm
**E_form (uncorrected)**: 11.5 eV/f.u.
**Size of the total moment**: 0.19 μB per cell
**Energy above the most stable polymorph in this dataset**: 0.0 kJ/mol of formula units
**Crystal system**: tetragonal

=====

The following is a DFT calculation (PBE) of a geometry-optimized ZnCIN2 structure.

Cell and atoms, written as POSCAR:
```
ZnCIN2
1.0
3.7253 0.0000 0.0000
0.0000 3.7253 0.0000
0.0000 0.0000 8.3471
Zn C I N
1 1 1 2
direct
0.0000 0.0000 0.0000
0.5000 0.5000 0.5000
0.0000 0.0000 0.5000
0.0000 0.5000 0.0000
0.5000 0.0000 0.0000
```

Results
**SG**: P4/mmm
**E_form (uncorrected)**: 12.5 eV/f.u.
**Size of the total moment**: 3.48 μB per cell
**Energy above the most stable polymorph in this dataset**: 93.5 kJ/mol of formula units
**Crystal system**: tetragonal

=====

The following is a DFT calculation (PBE) of a geometry-optimized Na2CI structure.

Cell and atoms, written as POSCAR:
```
Na2CI
1.0
7.4283 0.0000 0.0000
0.0000 7.4283 0.0000
0.0000 0.0000 8.8709
Na C I
8 4 4
direct
0.1888 0.2500 0.1250
0.2500 0.6888 0.3750
0.2500 0.8112 0.8750
0.3112 0.2500 0.6250
0.6888 0.7500 0.6250
0.7500 0.1888 0.8750
0.7500 0.3112 0.3750
0.8112 0.7500 0.1250
0.0000 0.0000 0.0000
0.0000 0.5000 0.2500
0.5000 0.0000 0.7500
0.5000 0.5000 0.5000
0.0000 0.0000 0.5000
0.0000 0.5000 0.7500
0.5000 0.0000 0.2500
0.5000 0.5000 0.0000
```

Results
**SG**: I-42d
**E_form (uncorrected)**: 2.6 eV/f.u.
**Size of the total moment**: 12.00 μB per cell
**Energy above the most stable polymorph in this dataset**: 0.0 kJ/mol of formula units
**Crystal system**: tetragonal